The following is a GGA-PBE calculation of PuPaIn6 after structural relaxation, from Alexandria via LeMat-Bulk.

- calculated density (g/cm3) = 9.6
- symmetry = No. 123
- size of the total moment (μB/cell) = 6.35
- calculated total energy (eV/atom) = -5.21
- E_form (meV/atom) = -180.9

Cell lengths 6.5612, 6.5612, 4.6596 Å; angles 90.00, 90.00, 90.00 degrees
Atoms (fractional coordinates):
Pu: 0.0000 0.0000 0.0000
Pa: 0.5000 0.5000 0.0000
In: 0.0000 0.5000 0.0000
In: 0.2495 0.2495 0.5000
In: 0.2495 0.7505 0.5000
In: 0.5000 0.0000 0.0000
In: 0.7505 0.2495 0.5000
In: 0.7505 0.7505 0.5000